1.
This record from Alexandria via LeMat-Bulk describes an optimized crystal structure of LaYTa. The functional is PBEsol.

Output
The volume comes out at 25.03 Å³/atom. The formation energy comes out at 10.67 kcal/mol of atoms.

Cell lengths 3.1524, 4.8502, 9.8209 Å; angles 90.00, 90.00, 90.00 degrees
With the nearest neighbours (Å) after each atom.
Space group Imm2 (No. 44)
Asymmetric unit:
La  0.0000  0.0000  0.0000  5 Y 3.10-3.41, 2 La 3.15, 5 Ta 3.31
Y  0.0000  0.0000  0.6845  5 La 3.10-3.41, 2 Y 3.15, 5 Ta 3.26-3.41
Ta  0.0000  0.0000  0.3372  2 Ta 3.15, 5 Y 3.26-3.41, 5 La 3.31

=====

2.
This record from Alexandria via LeMat-Bulk describes an optimized crystal structure of LaYTa. The functional is PBEsol.

Output
The volume comes out at 26.27 Å³/atom. The formation energy comes out at 8.31 kcal/mol of atoms.

Cell lengths 3.1820, 3.1820, 15.5690 Å; angles 90.00, 90.00, 90.00 degrees
With the nearest neighbours (Å) after each atom.
Space group I4mm (No. 107)
Asymmetric unit:
La  0.0000  0.0000  0.0000  4 La 3.18, 4 Ta 3.27
Y  0.0000  0.0000  0.7084  4 Ta 3.13, 4 Y 3.18
Ta  0.0000  0.0000  0.3479  4 Y 3.13, 4 Ta 3.18, 4 La 3.27

=====

3.
This record from Alexandria via LeMat-Bulk describes an optimized crystal structure of La2YTa. The functional is PBEsol.

Output
The volume comes out at 27.50 Å³/atom. The formation energy comes out at 9.06 kcal/mol of atoms.

Cell lengths 3.3249, 5.6782, 11.6513 Å; angles 90.00, 90.00, 90.00 degrees
With the nearest neighbours (Å) after each atom.
Space group Immm (No. 71)
Asymmetric unit:
La  0.0000  0.0000  0.2186  2 Ta 3.04, 6 La 3.32-3.37
Y  0.0000  0.5000  0.0000  4 Ta 3.29, 2 Y 3.32, 4 La 3.68
Ta  0.0000  0.5000  0.5000  4 La 3.04, 4 Y 3.29, 2 Ta 3.32

=====

4.
This record from Alexandria via LeMat-Bulk describes an optimized crystal structure of LaTaZn. The functional is PBEsol.

Output
The volume comes out at 23.74 Å³/atom. The formation energy comes out at 16.91 kcal/mol of atoms.

Cell lengths 6.5803, 6.5803, 6.5803 Å; angles 90.00, 90.00, 90.00 degrees
With the nearest neighbours (Å) after each atom.
Space group F-43m (No. 216)
Asymmetric unit:
La  0.0000  0.0000  0.0000  4 Zn 2.85
Ta  0.0000  0.0000  0.5000  4 Zn 2.85
Zn  0.2500  0.2500  0.7500  4 Ta 2.85, 4 La 2.85

=====

5.
This record from Alexandria via LeMat-Bulk describes an optimized crystal structure of LaTaZn2. The functional is PBEsol.

Output
The volume comes out at 19.28 Å³/atom. The formation energy comes out at 4.93 kcal/mol of atoms.

Cell lengths 4.3451, 4.3451, 8.1706 Å; angles 90.00, 90.00, 90.00 degrees
With the nearest neighbours (Å) after each atom.
Space group I4/mmm (No. 139)
Asymmetric unit:
La  0.0000  0.0000  0.0000  8 Zn 2.98, 4 Ta 3.07
Ta  0.0000  0.0000  0.5000  8 Zn 2.98, 4 La 3.07
Zn  0.0000  0.5000  0.2500  4 Ta 2.98, 4 La 2.98, 4 Zn 3.07

=====

6.
This record from Alexandria via LeMat-Bulk describes an optimized crystal structure of LaZr2Ta. The functional is PBEsol.

Output
The volume comes out at 22.17 Å³/atom. The formation energy comes out at 7.27 kcal/mol of atoms.

Cell lengths 3.5623, 4.9699, 10.0193 Å; angles 90.00, 90.00, 90.00 degrees
With the nearest neighbours (Å) after each atom.
Space group Imm2 (No. 44)
Asymmetric unit:
La  0.0000  0.0000  0.0000  6 Zr 3.06-3.12, 2 Ta 3.10
Zr  0.0000  0.0000  0.4799  2 Ta 2.88, 4 La 3.06, 2 Zr 3.19
Zr  0.0000  0.5000  0.2446  4 Ta 3.06, 2 La 3.12, 4 Zr 3.19-3.43
Ta  0.0000  0.5000  0.7536  6 Zr 2.88-3.06, 2 La 3.10

=====

7.
This record from Alexandria via LeMat-Bulk describes an optimized crystal structure of LaZr2Ta. The functional is PBEsol.

Output
The volume comes out at 22.92 Å³/atom. The formation energy comes out at 6.32 kcal/mol of atoms.

Cell lengths 3.1653, 3.1653, 31.7014 Å; angles 90.00, 90.00, 120.00 degrees
With the nearest neighbours (Å) after each atom.
Space group R-3m (No. 166, hexagonal axes)
Asymmetric unit:
La  0.0000  0.0000  0.0000  6 La 3.17, 6 Zr 3.45
Zr  0.0000  0.0000  0.2411  3 Ta 2.99, 6 Zr 3.17
Ta  0.0000  0.0000  0.5000  6 Zr 2.99, 6 Ta 3.17

=====

8.
This record from Alexandria via LeMat-Bulk describes an optimized crystal structure of LaZrTa. The functional is PBEsol.

Output
The volume comes out at 23.68 Å³/atom. The formation energy comes out at 7.69 kcal/mol of atoms.

Cell lengths 3.0593, 3.0593, 15.1778 Å; angles 90.00, 90.00, 90.00 degrees
With the nearest neighbours (Å) after each atom.
Space group I4mm (No. 107)
Asymmetric unit:
La  0.0000  0.0000  0.0000  4 La 3.06, 4 Ta 3.29
Zr  0.0000  0.0000  0.3002  4 Ta 3.00, 4 Zr 3.06
Ta  0.0000  0.0000  0.6629  4 Zr 3.00, 4 Ta 3.06, 4 La 3.29

=====

9.
This record from Alexandria via LeMat-Bulk describes an optimized crystal structure of LaZr2Ta. The functional is PBEsol.

Output
The volume comes out at 22.56 Å³/atom. The formation energy comes out at 6.73 kcal/mol of atoms.

Cell lengths 3.4337, 5.0117, 10.4866 Å; angles 90.00, 90.00, 90.00 degrees
With the nearest neighbours (Å) after each atom.
Space group Cmm2 (No. 35)
Asymmetric unit:
La  0.0000  0.0000  0.0000  4 La 3.04, 2 Ta 3.12
Zr  0.0000  0.0000  0.4682  2 Ta 2.87, 6 Zr 3.04
Zr  0.0000  0.5000  0.7077  6 Zr 3.04
Ta  0.0000  0.5000  0.2485  2 Zr 2.87, 4 Ta 3.04, 2 La 3.12

=====

10.
This record from Alexandria via LeMat-Bulk describes an optimized crystal structure of La3ZrTa. The functional is PBEsol.

Output
The volume comes out at 34.05 Å³/atom. The formation energy comes out at 21.65 kcal/mol of atoms.

Cell lengths 5.5425, 5.5425, 5.5425 Å; angles 90.00, 90.00, 90.00 degrees
With the nearest neighbours (Å) after each atom.
Space group Pm-3m (No. 221)
Asymmetric unit:
La  0.0000  0.0000  0.5000  2 Ta 2.77
Zr  0.5000  0.5000  0.5000  12 La 3.92
Ta  0.0000  0.0000  0.0000  6 La 2.77

=====

11.
This record from Alexandria via LeMat-Bulk describes an optimized crystal structure of La3Tb. The functional is PBEsol.

Output
The volume comes out at 32.93 Å³/atom. The formation energy comes out at 0.42 kcal/mol of atoms.

Cell lengths 5.0904, 5.0904, 10.1678 Å; angles 90.00, 90.00, 90.00 degrees
With the nearest neighbours (Å) after each atom.
Space group I4/mmm (No. 139)
Asymmetric unit:
La  0.0000  0.0000  0.0000  8 La 3.60, 4 Tb 3.60
La  0.0000  0.5000  0.2500  4 Tb 3.60, 8 La 3.60
Tb  0.0000  0.0000  0.5000  12 La 3.60

=====

12.
This record from Alexandria via LeMat-Bulk describes an optimized crystal structure of LaTc. The functional is PBEsol.

Output
The volume comes out at 27.42 Å³/atom. The formation energy comes out at 2.43 kcal/mol of atoms.

Cell lengths 4.0852, 4.0852, 22.7633 Å; angles 90.00, 90.00, 120.00 degrees
With the nearest neighbours (Å) after each atom.
Space group R-3m (No. 166, hexagonal axes)
Asymmetric unit:
La  0.0000  0.0000  0.0913  3 Tc 2.95
Tc  0.0000  0.0000  0.3465  3 Tc 2.43

=====

13.
This record from Alexandria via LeMat-Bulk describes an optimized crystal structure of La5Tc. The functional is PBEsol.

Output
The volume comes out at 29.50 Å³/atom. The formation energy comes out at 1.79 kcal/mol of atoms.

Cell lengths 12.0321, 3.7950, 8.1228 Å; angles 90.00, 107.34, 90.00 degrees
With the nearest neighbours (Å) after each atom.
Space group C2/m (No. 12)
Asymmetric unit:
La  0.0000  0.0000  0.0000  12 La 3.48-3.80
La  0.1236  0.5000  0.3818  2 Tc 2.75
La  0.1769  0.5000  0.8199  2 Tc 3.40, 11 La 3.42-3.80
Tc  0.0000  0.0000  0.5000  4 La 2.75

=====

14.
This record from Alexandria via LeMat-Bulk describes an optimized crystal structure of LaTc2. The functional is PBEsol.

Output
The volume comes out at 20.28 Å³/atom. The formation energy comes out at 2.33 kcal/mol of atoms.

Cell lengths 4.2301, 7.3399, 7.8373 Å; angles 90.00, 90.00, 90.00 degrees
With the nearest neighbours (Å) after each atom.
Space group Imma (No. 74)
Asymmetric unit:
La  0.0000  0.2500  0.0687  12 Tc 3.05-3.38
Tc  0.0000  0.0865  0.6654  3 Tc 2.40-2.50

=====

15.
This record from Alexandria via LeMat-Bulk describes an optimized crystal structure of LaTc2. The functional is PBEsol.

Output
The volume comes out at 22.23 Å³/atom. The formation energy comes out at 5.13 kcal/mol of atoms.

Cell lengths 4.0624, 4.0624, 4.6658 Å; angles 90.00, 90.00, 120.00 degrees
With the nearest neighbours (Å) after each atom.
Space group P-3m1 (No. 164)
Asymmetric unit:
La  0.0000  0.0000  0.0000  12 Tc 3.19-3.43
Tc  0.3333  0.6667  0.4650  3 Tc 2.37

=====

16.
This record from Alexandria via LeMat-Bulk describes an optimized crystal structure of La5Tc. The functional is PBEsol.

Output
The volume comes out at 29.84 Å³/atom. The formation energy comes out at 2.09 kcal/mol of atoms.

Cell lengths 3.5182, 3.5182, 14.4631 Å; angles 90.00, 90.00, 90.00 degrees
With the nearest neighbours (Å) after each atom.
Space group P4/mmm (No. 123)
Asymmetric unit:
La  0.0000  0.0000  0.0000  12 La 3.52
La  0.0000  0.0000  0.3816  4 Tc 3.02
La  0.5000  0.5000  0.1722  12 La 3.52-3.92
Tc  0.5000  0.5000  0.5000  8 La 3.02

=====

17.
This record from Alexandria via LeMat-Bulk describes an optimized crystal structure of La5Tc. The functional is PBEsol.

Output
The volume comes out at 29.67 Å³/atom. The formation energy comes out at 4.02 kcal/mol of atoms.

Cell lengths 4.2435, 14.2798, 5.8749 Å; angles 90.00, 90.00, 90.00 degrees
With the nearest neighbours (Å) after each atom.
Space group Cmmm (No. 65)
Asymmetric unit:
La  0.0000  0.0000  0.0000  4 La 2.92
La  0.0000  0.1295  0.5000  2 Tc 2.81
La  0.0000  0.3594  0.0000  2 La 2.92
Tc  0.0000  0.5000  0.5000  4 La 2.81

=====

18.
This record from Alexandria via LeMat-Bulk describes an optimized crystal structure of LaTc2. The functional is PBEsol.

Output
The volume comes out at 18.77 Å³/atom. The formation energy comes out at 2.76 kcal/mol of atoms.

Cell lengths 5.2815, 5.2815, 9.3218 Å; angles 90.00, 90.00, 120.00 degrees
With the nearest neighbours (Å) after each atom.
Space group P6_3/mmc (No. 194)
Asymmetric unit:
La  0.3333  0.6667  0.0617  12 Tc 3.10-3.27, 3 La 3.26
Tc  0.0000  0.0000  0.0000  6 Tc 2.80, 6 La 3.10
Tc  0.1697  0.3394  0.7500  6 Tc 2.59-2.80

=====

19.
This record from Alexandria via LeMat-Bulk describes an optimized crystal structure of La2Tc3. The functional is PBEsol.

Output
The volume comes out at 21.84 Å³/atom. The formation energy comes out at 3.20 kcal/mol of atoms.

Cell lengths 10.2719, 14.2800, 5.9561 Å; angles 90.00, 90.00, 90.00 degrees
With the nearest neighbours (Å) after each atom.
Space group Fdd2 (No. 43)
Asymmetric unit:
La  0.0824  0.2977  0.0000  6 Tc 2.98-3.22
Tc  0.0000  0.0000  0.2392  4 Tc 2.43-2.45
Tc  0.0844  0.3730  0.5095  2 Tc 2.43-2.45

=====

20.
This record from Alexandria via LeMat-Bulk describes an optimized crystal structure of La2TcTe. The functional is PBEsol.

Output
The calculation puts the uncorrected formation energy at -209 meV/atom. The volume comes out at 25.95 Å³/atom.

Cell lengths 7.4604, 7.4604, 7.4604 Å; angles 90.00, 90.00, 90.00 degrees
With the nearest neighbours (Å) after each atom.
Space group Fm-3m (No. 225)
Asymmetric unit:
La  0.2500  0.2500  0.2500  4 Tc 3.23, 4 Te 3.23
Tc  0.0000  0.0000  0.0000  8 La 3.23
Te  0.0000  0.0000  0.5000  8 La 3.23

=====

Number 1: density of states at the Fermi level 1.47 states/eV/atom. Number 2: density of states at the Fermi level 1.15 states/eV/atom. Number 3: density of states at the Fermi level 1.32 states/eV/atom. Number 4: density of states at the Fermi level 1.52 states/eV/atom. Number 5: density of states at the Fermi level 1.09 states/eV/atom. Number 6: density of states at the Fermi level 1.14 states/eV/atom. Number 7: density of states at the Fermi level 1.48 states/eV/atom. Number 8: density of states at the Fermi level 1.25 states/eV/atom. Number 9: density of states at the Fermi level 1.66 states/eV/atom. Number 10: density of states at the Fermi level 2.01 states/eV/atom. Number 11: density of states at the Fermi level 1.67 states/eV/atom. Number 12: density of states at the Fermi level 1.11 states/eV/atom. Number 13: density of states at the Fermi level 1.11 states/eV/atom. Number 14: density of states at the Fermi level 0.63 states/eV/atom. Number 15: density of states at the Fermi level 1.00 states/eV/atom. Number 16: density of states at the Fermi level 1.13 states/eV/atom. Number 17: density of states at the Fermi level 1.23 states/eV/atom. Number 18: density of states at the Fermi level 1.42 states/eV/atom. Number 19: density of states at the Fermi level 0.84 states/eV/atom. Number 20: density of states at the Fermi level 0.85 states/eV/atom.